# 1
VASP calculation (PBE-GGA) on a relaxed structure of BaZnP3.

Calculated values
Fermi-level density of states	5.15	states/eV/cell
polymorph energy (0 for the lowest one)	1464	meV/atom
V	185.3	Å³/cell
energy relative to the elements	1.5297	eV per atom
crystal system	cubic
raw total energy	-2.356	eV per atom

abc: 5.7007 5.7007 5.7007
angles: 90.00 90.00 90.00
Fractional coordinates of all 5 atoms:
Ba: 0.0000 0.0000 0.0000
P: 0.5000 0.0000 0.0000
P: 0.0000 0.5000 0.0000
P: 0.0000 0.0000 0.5000
Zn: 0.5000 0.5000 0.5000


# 2
VASP calculation (PBE-GGA) on a relaxed structure of BaZn2P.

Calculated values
Fermi-level density of states	2.63	states/eV/cell
V	101.1	Å³/cell
energy relative to the elements	-0.0469	eV per atom
crystal system	tetragonal
raw total energy	-2.517	eV per atom

abc: 4.4486 4.4486 5.1106
angles: 90.00 90.00 90.00
Fractional coordinates of all 4 atoms:
Zn: 0.5000 0.0000 0.0000
Zn: 0.0000 0.5000 0.0000
Ba: 0.5000 0.5000 0.5000
P: 0.0000 0.0000 0.5000


# 3
VASP calculation (PBE-GGA) on a relaxed structure of BaZnP.

Calculated values
Fermi-level density of states	2.65	states/eV/cell
V	75.3	Å³/cell
energy relative to the elements	-0.2168	eV per atom
crystal system	tetragonal
raw total energy	-3.086	eV per atom

abc: 6.1410 6.1410 6.1410
angles: 145.14 145.14 50.12
Fractional coordinates of all 3 atoms:
P: 0.2905 0.2905 0.0000
Zn: 0.7116 0.7116 0.0000
Ba: 0.9979 0.9979 0.0000


# 4
VASP calculation (PBE-GGA) on a relaxed structure of Ba4Zn2P.

Calculated values
Fermi-level density of states	9.30	states/eV/cell
V	325.1	Å³/cell
energy relative to the elements	-0.2890	eV per atom
crystal system	tetragonal
raw total energy	-2.525	eV per atom

abc: 6.4525 6.4525 9.0441
angles: 69.10 69.10 90.00
Fractional coordinates of all 7 atoms:
Ba: 0.0000 0.5000 0.0000
Ba: 0.8041 0.8041 0.3918
Ba: 0.5000 0.0000 0.0000
Ba: 0.1959 0.1959 0.6082
Zn: 0.4156 0.4156 0.1687
Zn: 0.5844 0.5844 0.8313
P: 0.0000 0.0000 0.0000


# 5
VASP calculation (PBE-GGA) on a relaxed structure of BaZn2P.

Calculated values
Fermi-level density of states	3.09	states/eV/cell
V	98.0	Å³/cell
energy relative to the elements	-0.2133	eV per atom
crystal system	trigonal
raw total energy	-2.683	eV per atom

abc: 6.4910 6.4910 6.4910
angles: 39.15 39.15 39.15
Fractional coordinates of all 4 atoms:
Ba: 0.5000 0.5000 0.5000
Zn: 0.7118 0.7118 0.7118
Zn: 0.2882 0.2882 0.2882
P: 0.0000 0.0000 0.0000


# 6
VASP calculation (PBE-GGA) on a relaxed structure of BaZn2P.

Calculated values
Fermi-level density of states	1.02	states/eV/cell
V	99.8	Å³/cell
energy relative to the elements	-0.0660	eV per atom
crystal system	cubic
raw total energy	-2.536	eV per atom

abc: 5.2061 5.2061 5.2061
angles: 60.00 60.00 60.00
Fractional coordinates of all 4 atoms:
P: 0.7500 0.7500 0.7500
Ba: 0.5000 0.5000 0.5000
Zn: 0.0000 0.0000 0.0000
Zn: 0.2500 0.2500 0.2500


# 7
VASP calculation (PBE-GGA) on a relaxed structure of BaZn2P.

Calculated values
Fermi-level density of states	1.44	states/eV/cell
V	94.2	Å³/cell
energy relative to the elements	-0.1514	eV per atom
crystal system	tetragonal
raw total energy	-2.621	eV per atom

abc: 3.6812 3.6766 6.9576
angles: 90.00 90.00 90.00
Fractional coordinates of all 4 atoms:
Zn: 0.5000 0.5000 0.1665
Zn: 0.0000 0.0000 0.9888
P: 0.5000 0.5000 0.8214
Ba: 0.0000 0.0000 0.5233


# 8
VASP calculation (PBE-GGA) on a relaxed structure of Ba2ZnP.

Calculated values
Fermi-level density of states	4.40	states/eV/cell
polymorph energy (0 for the lowest one)	99	meV/atom
V	126.6	Å³/cell
energy relative to the elements	-0.4829	eV per atom
crystal system	cubic
raw total energy	-3.115	eV per atom

abc: 5.6360 5.6360 5.6360
angles: 60.00 60.00 60.00
Fractional coordinates of all 4 atoms:
P: 0.0000 0.0000 0.0000
Ba: 0.7500 0.7500 0.7500
Ba: 0.2500 0.2500 0.2500
Zn: 0.5000 0.5000 0.5000